A plane-wave DFT calculation with GGA-PBE was carried out for crystalline Ba2SrMgHg at its relaxed geometry.

The magnetization comes out at 0.0 Bohr magnetons per cell. For the total energy, the calculation gives -7.86 eV per cell. The calculation puts the energy relative to the elements at -0.44 eV/f.u.

The space group is P4/mmm (No. 123) and the conventional cell measures 6.6819, 6.6819 and 5.4372 Å, with angles of 90.00, 90.00 and 90.00 degrees. The inequivalent atoms are Ba at (0.0000, 0.5000, 0.0000), Sr at (0.0000, 0.0000, 0.5000), Mg at (0.5000, 0.5000, 0.5000) and Hg at (0.5000, 0.5000, 0.0000).